(1)
Entry from Alexandria: a relaxed ZnNiPd4 crystal (PBE).

```
6
Lattice="-2.5984 0.5909 1.0016 0.7618 -0.9877 2.5589 3.2997 9.7771 2.7917" Properties=species:S:1:pos:R:3 pbc="T T T"
Zn 0.7315 4.6901 3.1761
Ni 0.0000 0.0000 0.0000
Pd -0.4105 1.3062 2.2099
Pd 2.1752 6.4452 1.8403
Pd 1.1245 3.3319 0.9514
Pd 1.8736 8.0741 4.1423
```

Calculated values
Energy of formation from the pure elements (eV/atom): -0.201
Energy above the most stable polymorph in this dataset (meV per atom): 0
Symmetry: P4/mmm (123)

***

(2)
Entry from Alexandria: a relaxed Zn8NiPd2 crystal (PBE).

```
11
Lattice="-1.2205 -2.9829 -1.9940 3.9896 -3.7000 3.0932 -6.5653 2.7278 3.5394" Properties=species:S:1:pos:R:3 pbc="T T T"
Zn -2.4417 -1.2421 3.3526
Zn 1.0064 -4.0206 1.7970
Zn -2.2152 -3.9484 3.6608
Zn 0.7977 -1.1850 1.2845
Zn -1.5810 -0.0067 0.9777
Zn -4.8026 0.0655 2.8415
Zn -1.3545 -2.7130 1.2859
Zn -4.5939 -2.7701 3.3540
Ni -0.6102 -1.4915 -0.9970
Pd -3.7610 -1.5584 1.0316
Pd -0.0352 -2.3967 3.6069
```

Calculated values
Energy of formation from the pure elements (eV/atom): -0.277
Energy above the most stable polymorph in this dataset (meV per atom): 0
Symmetry: C2/m (12)

***

(3)
Entry from Alexandria: a relaxed Zn7Ni2Pd crystal (PBE).

```
10
Lattice="4.1518 0.0000 0.0000 -2.0759 3.5955 0.0000 0.0000 0.0000 10.2019" Properties=species:S:1:pos:R:3 pbc="T T T"
Zn 2.0759 1.1985 6.0293
Zn 2.0759 1.1985 8.6112
Zn 0.0000 0.0000 7.4145
Zn 0.0000 0.0000 2.8271
Zn 0.0000 2.3970 4.5376
Zn 0.0000 2.3970 9.6251
Zn 2.0759 1.1985 1.2563
Ni 0.0000 2.3970 7.1244
Ni 2.0759 1.1985 3.6411
Pd 0.0000 0.0000 0.1118
```

Calculated values
Energy of formation from the pure elements (eV/atom): -0.108
Symmetry: P3m1 (156)

***

(4)
Entry from Alexandria: a relaxed Zn2NiPd crystal (PBE).

```
8
Lattice="6.6856 0.0000 0.0000 0.0000 6.6856 0.0000 3.3428 3.3428 2.6361" Properties=species:S:1:pos:R:3 pbc="T T T"
Ni 3.3428 3.3428 0.0000
Ni 3.3428 6.6856 1.3180
Zn 4.9020 1.6714 0.6590
Zn 1.7836 5.0142 0.6590
Zn 5.0142 5.1265 1.9771
Zn 8.3570 8.2448 1.9771
Pd 0.0000 0.0000 0.0000
Pd 6.6856 3.3428 1.3180
```

Calculated values
Energy of formation from the pure elements (eV/atom): -0.020
Symmetry: I-42d (122)

***

(5)
Entry from Alexandria: a relaxed ZnNi2Pd4 crystal (PBE).

```
7
Lattice="-1.3637 -1.2770 -3.2249 0.6158 -3.3939 3.2372 -5.7615 -6.3979 4.9698" Properties=species:S:1:pos:R:3 pbc="T T T"
Zn -2.8808 -3.1989 2.4849
Ni -6.0933 -8.3206 3.7179
Ni -0.4161 -2.7481 1.2642
Pd -1.9165 -4.9178 0.6042
Pd -4.5930 -6.1510 4.3779
Pd -4.4449 -5.2624 1.8098
Pd -2.0646 -5.8064 3.1723
```

Calculated values
Energy of formation from the pure elements (eV/atom): -0.128
Energy above the most stable polymorph in this dataset (meV per atom): 0
Symmetry: C2/m (12)

***

(6)
Entry from Alexandria: a relaxed ZnNi2Pd2 crystal (PBE).

```
10
Lattice="6.9916 0.0000 0.0000 0.0000 6.9916 0.0000 0.0000 0.0000 2.8951" Properties=species:S:1:pos:R:3 pbc="T T T"
Ni 2.6524 6.1481 0.0000
Ni 6.1481 4.3392 0.0000
Ni 4.3392 0.8434 0.0000
Ni 0.8434 2.6524 0.0000
Zn 0.0000 0.0000 0.0000
Zn 3.4958 3.4958 0.0000
Pd 1.2334 4.7292 1.4476
Pd 4.7292 5.7581 1.4476
Pd 5.7581 2.2624 1.4476
Pd 2.2624 1.2334 1.4476
```

Calculated values
Energy of formation from the pure elements (eV/atom): 0.055
Energy above the most stable polymorph in this dataset (meV per atom): 0
Symmetry: P4/mbm (127)